No. 1
A relaxed structure of LaSb3C, computed with PBE.

a = 4.918 Å, b = 4.918 Å, c = 4.918 Å
α = 90.00°, β = 90.00°, γ = 90.00°
Space group Pm-3m (No. 221)
Inequivalent atoms, fractional coordinates:
La  0.000  0.000  0.000 (multiplicity 1)
Sb  0.000  0.500  0.500 (multiplicity 3)
C  0.500  0.500  0.500 (multiplicity 1)

M_tot: 0.00 μB/cell
N(E_F): 3.8 states/eV per cell
Energy relative to the elements, uncorrected: 0.32 eV/atom
Volume: 119.0 Å³ per cell
ΔE to the lowest computed polymorph: 0 meV/atom

No. 2
A relaxed structure of MgMnNi2, computed with PBE.

a = 5.766 Å, b = 5.779 Å, c = 3.121 Å
α = 90.00°, β = 90.00°, γ = 90.00°
Space group Cmmm (No. 65)
Inequivalent atoms, fractional coordinates:
Mg  0.000  0.000  0.000 (multiplicity 2)
Mn  0.000  0.500  0.000 (multiplicity 2)
Ni  0.250  0.250  0.500 (multiplicity 4)

Energy of formation: -0.099 eV per atom
M_tot: 9.12 μB/cell
N(E_F): 2.8 states/eV per cell
Volume: 104.0 Å³ per cell